Entry 1:
Entry from Alexandria: a PBEsol-optimized structure of POsAu3 (meta-GGA SCAN).

The space group is Pm-3m (No. 221) and the conventional cell measures 4.524, 4.524 and 4.524 Å, with angles of 90.00, 90.00 and 90.00 degrees. The distinct sites, in fractional coordinates, are P at (0.000, 0.000, 0.000), Os at (0.500, 0.500, 0.500) and Au at (0.000, 0.000, 0.500).

The value obtained for the uncorrected energy is -283.76 eV/cell. Its magnetization is 0.40 μB per atom. The calculation puts the theoretical density at 14.569 g/cm³.

Entry 2:
Entry from Alexandria: a PBEsol-optimized structure of P2OsAu (meta-GGA SCAN).

The space group is I-42d (No. 122) and the conventional cell measures 5.483, 5.483 and 10.228 Å, with angles of 90.00, 90.00 and 90.00 degrees. The distinct sites, in fractional coordinates, are P at (0.222, 0.250, 0.125), Os at (0.000, 0.000, 0.000) and Au at (0.000, 0.000, 0.500).

The value obtained for the uncorrected energy is -647.57 eV/cell. Its magnetization is 0.00 μB per atom. The calculation puts the theoretical density at 9.702 g/cm³.

Entry 3:
Entry from Alexandria: a PBEsol-optimized structure of POsAu2 (meta-GGA SCAN).

The space group is Pmmm (No. 47) and the conventional cell measures 2.680, 4.036 and 5.766 Å, with angles of 90.00, 90.00 and 90.00 degrees. The distinct sites, in fractional coordinates, are P at (0.000, 0.000, 0.000), Os at (0.000, 0.000, 0.500) and Au at (0.500, 0.500, 0.250).

The value obtained for the uncorrected energy is -217.43 eV/cell. Its magnetization is 0.00 μB per atom. The calculation puts the theoretical density at 16.379 g/cm³.

Entry 4:
Entry from Alexandria: a PBEsol-optimized structure of POs2Au (meta-GGA SCAN).

The space group is Cmmm (No. 65) and the conventional cell measures 2.811, 4.865 and 8.588 Å, with angles of 90.00, 90.00 and 90.00 degrees. The distinct sites, in fractional coordinates, are P at (0.000, 0.000, 0.000), Os at (0.000, 0.500, 0.210) and Au at (0.000, 0.000, 0.500).

The value obtained for the uncorrected energy is -442.65 eV/cell. Its magnetization is 0.00 μB per atom. The calculation puts the theoretical density at 17.206 g/cm³.

Entry 5:
Entry from Alexandria: a PBEsol-optimized structure of Os2PbAu (meta-GGA SCAN).

The space group is F-43m (No. 216) and the conventional cell measures 6.481, 6.481 and 6.481 Å, with angles of 90.00, 90.00 and 90.00 degrees. The distinct sites, in fractional coordinates, are Os at (0.000, 0.000, 0.000), Os at (0.250, 0.250, 0.250), Pb at (0.250, 0.250, 0.750) and Au at (0.000, 0.000, 0.500).

The value obtained for the uncorrected energy is -1135.64 eV/cell. Its magnetization is 0.00 μB per atom. The calculation puts the theoretical density at 19.143 g/cm³.

Entry 6:
Entry from Alexandria: a PBEsol-optimized structure of OsPb2Au (meta-GGA SCAN).

The space group is R-3m (No. 166, hexagonal axes) and the conventional cell measures 3.2928, 3.2928 and 26.4037 Å, with angles of 90.00, 90.00 and 120.00 degrees. The distinct sites, in fractional coordinates, are Os at (0.0000, 0.0000, 0.0000), Pb at (0.0000, 0.0000, 0.2548) and Au at (0.0000, 0.0000, 0.5000).

The value obtained for the uncorrected energy is -869.46 eV/cell. Its magnetization is 0.00 μB per atom. The calculation puts the theoretical density at 16.106 g/cm³.

Entry 7:
Entry from Alexandria: a PBEsol-optimized structure of OsPb2Au (meta-GGA SCAN).

The space group is C2/m (No. 12) and the conventional cell measures 7.082, 7.078 and 3.216 Å, with angles of 90.00, 90.20 and 90.00 degrees. The distinct sites, in fractional coordinates, are Os at (0.000, 0.000, 0.000), Pb at (0.250, 0.250, 0.500) and Au at (0.000, 0.500, 0.000).

The value obtained for the uncorrected energy is -578.67 eV/cell. Its magnetization is 0.00 μB per atom. The calculation puts the theoretical density at 16.512 g/cm³.

Entry 8:
Entry from Alexandria: a PBEsol-optimized structure of OsPt2Au (meta-GGA SCAN).

The space group is Cmmm (No. 65) and the conventional cell measures 2.717, 4.738 and 9.586 Å, with angles of 90.00, 90.00 and 90.00 degrees. The distinct sites, in fractional coordinates, are Os at (0.000, 0.000, 0.000), Pt at (0.000, 0.500, 0.241) and Au at (0.000, 0.000, 0.500).

The value obtained for the uncorrected energy is -560.75 eV/cell. Its magnetization is 0.21 μB per atom. The calculation puts the theoretical density at 20.919 g/cm³.